Computed, not measured: an optimized crystal structure of Pu3Tl4AgS8 at the GGA-PBE level of DFT.

Its uncorrected formation energy is -22.08 kcal/mol of atoms.

The structure belongs to space group R-3m (No. 166, hexagonal axes); the cell edges are 8.0397, 8.0397 and 22.3331 Å and the angles 90.00°, 90.00° and 120.00°. The asymmetric unit holds Pu at (0.0000, 0.5000, 0.0000), Tl at (0.0000, 0.0000, 0.5000), Tl at (0.0000, 0.5000, 0.5000), Ag at (0.0000, 0.0000, 0.0000), S at (0.0000, 0.0000, 0.2679) and S at (0.0130, 0.5065, 0.2678).